No. 1
Here is a relaxed NaLaY2B crystal from Alexandria via LeMat-Bulk. Energies are from PBE-GGA.

a = 5.3802 Å, b = 5.3802 Å, c = 5.5029 Å
α = 90.00°, β = 90.00°, γ = 90.00°
Space group P4/mmm (No. 123)
Symmetry-distinct sites (fractional):
1 Na 0.0000 0.0000 0.0000 x1
2 La 0.0000 0.0000 0.5000 x1
3 Y 0.0000 0.5000 0.0000 x2
4 B 0.5000 0.5000 0.5000 x1

No. 2
Here is a relaxed KNiPb2 crystal from Alexandria via LeMat-Bulk. Energies are from PBE-GGA.

a = 4.7404 Å, b = 4.7404 Å, c = 4.7690 Å
α = 90.00°, β = 90.00°, γ = 90.00°
Space group P4/mmm (No. 123)
Symmetry-distinct sites (fractional):
1 K 0.0000 0.0000 0.0000 x1
2 Ni 0.5000 0.5000 0.0000 x1
3 Pb 0.0000 0.5000 0.5000 x2

No. 3
Here is a relaxed RhSCl2 crystal from Alexandria via LeMat-Bulk. Energies are from PBE-GGA.

Properties
The formation energy without anion corrections is 0.33 eV/atom.

a = 3.7402 Å, b = 3.7402 Å, c = 21.5477 Å
α = 90.00°, β = 90.00°, γ = 120.00°
Space group R-3m (No. 166, hexagonal axes)
Symmetry-distinct sites (fractional):
1 Rh 0.0000 0.0000 0.0000 x3
2 S 0.0000 0.0000 0.5000 x3
3 Cl 0.0000 0.0000 0.3935 x6

Number 1: density 3.654 g/cm3, calculated total energy -0.25688 Ry/atom. Number 2: density 7.936 g/cm3, calculated total energy -0.23046 Ry/atom. Number 3: density 3.929 g/cm3, calculated total energy -0.25419 Ry/atom.